Computed, not measured: an optimized crystal structure of Ac5RuPt2 at the PBE level of DFT.

## Properties
total energy: -0.21489 Ha/atom

Cell lengths 6.0073, 13.8972, 14.7055 Å; angles 90.00, 90.00, 90.00 degrees
Closest atoms and distances in Å follow each position.
Space group Cmcm (No. 63)
Asymmetric unit:
Ac (0.0000, 0.0544, 0.1209) [8 per cell]  1 Ru 2.79, 2 Pt 3.02-3.03
Ac (0.0000, 0.2666, 0.7500) [4 per cell]  2 Ru 3.04, 2 Pt 3.18
Ac (0.0000, 0.3306, 0.0733) [8 per cell]  3 Pt 3.02-3.15, 1 Ru 3.16
Ru (0.0000, 0.2013, 0.2500) [4 per cell]  4 Ac 2.79-3.04
Pt (0.0000, 0.1544, 0.5616) [8 per cell]  6 Ac 3.02-3.18